# RbNa2In2

A relaxed RbNa2In2 crystal (PBE, the Alexandria database).

Summary:
Its size of the total moment is 0.000 μB per formula unit. As for the density: 3.51 g cm⁻³. The value obtained for the density of states at the Fermi level is 4.0 states/eV/cell. The calculation puts the formation energy at -0.04 eV per atom. As for the energy above the most stable polymorph in this dataset: 0 meV per atom.

a = 9.616 Å, b = 9.616 Å, c = 3.690 Å
α = 90.00°, β = 90.00°, γ = 90.00°
Element x y z (fractional)
Na1 0.178 0.678 0.500
Na2 0.678 0.822 0.500
Na3 0.822 0.322 0.500
Na4 0.322 0.178 0.500
Rb1 0.000 0.000 0.000
Rb2 0.500 0.500 0.000
In1 0.390 0.890 0.000
In2 0.890 0.610 0.000
In3 0.610 0.110 0.000
In4 0.110 0.390 0.000